# CsCa2GeAu

A relaxed CsCa2GeAu crystal (GGA-PBE, the Alexandria database).

abc: 5.981 5.466 5.981
angles: 90.00 90.00 90.00
Atoms (fractional coordinates):
Au1 0.500 0.500 0.500
Ge1 0.000 0.500 0.000
Ca1 0.500 0.000 0.000
Ca2 0.000 0.000 0.500
Cs1 0.000 0.000 0.000

Computed properties:
Formation enthalpy at 0 K, eV/atom: 1.194

***

# NiSnHg2I

A relaxed NiSnHg2I crystal (GGA-PBE, the Alexandria database).

abc: 5.198 5.198 5.041
angles: 90.00 90.00 90.00
Atoms (fractional coordinates):
Hg1 0.000 0.500 0.000
Hg2 0.500 0.000 0.000
Ni1 0.000 0.000 0.000
I1 0.500 0.500 0.500
Sn1 0.000 0.000 0.500

Computed properties:
Energy relative to the elements, uncorrected, meV/atom: -15

***

# TlP2I

A relaxed TlP2I crystal (GGA-PBE, the Alexandria database).

abc: 5.066 5.066 5.066
angles: 60.00 60.00 60.00
Atoms (fractional coordinates):
P1 0.750 0.750 0.750
P2 0.250 0.250 0.250
I1 0.000 0.000 0.000
Tl1 0.500 0.500 0.500

Computed properties:
E above lowest polymorph, meV per atom: 120
Energy relative to the elements, uncorrected, meV/atom: 895

***

# CeEr5Se6

A relaxed CeEr5Se6 crystal (GGA-PBE, the Alexandria database).

abc: 7.048 7.048 7.044
angles: 99.65 99.65 120.25
Atoms (fractional coordinates):
Er1 0.500 0.500 0.500
Er2 0.164 0.836 0.500
Er3 0.333 0.667 0.000
Er4 0.836 0.164 0.500
Er5 0.667 0.333 0.000
Se1 0.427 0.085 0.256
Se2 0.573 0.915 0.744
Se3 0.742 0.742 0.253
Se4 0.915 0.573 0.744
Se5 0.085 0.427 0.256
Se6 0.258 0.258 0.747
Ce1 0.000 0.000 0.000

Computed properties:
Energy relative to the elements, uncorrected, meV/atom: -1718